AcLa3Bi2: relaxed, PBE.

Cell: 4.8066 4.8066 9.3621 Å, 90.00 90.00 90.00°
Closest atoms and distances in Å follow each position.
Atoms (fractional coordinates):
Ac 0.0000 0.0000 0.0000  4 La 3.40, 4 Bi 3.58
La 0.0000 0.5000 0.3569  5 Bi 3.36-3.47
La 0.5000 0.0000 0.6431  5 Bi 3.36-3.47
La 0.5000 0.5000 0.0000  4 Ac 3.40, 4 Bi 3.58
Bi 0.0000 0.5000 0.7159  7 La 3.36-3.58, 2 Ac 3.58
Bi 0.5000 0.0000 0.2841  7 La 3.36-3.58, 2 Ac 3.58

As for the total energy: -30.6 eV for the cell shown. The space group is P-4m2, No. 115. The calculation puts the energy relative to the elements at -0.65 eV/atom. Its volume is 36.05 Å³ per atom. The value obtained for the density of states at the Fermi level is 6.56 states/eV/f.u.


AcLa4Bi5: relaxed, PBE.

Cell: 12.5402 12.5402 12.5402 Å, 158.19 148.97 38.25°
Closest atoms and distances in Å follow each position.
Atoms (fractional coordinates):
Ac 0.0000 0.0000 0.0000  6 Bi 3.35-3.42
La 0.2017 0.2017 0.0000  6 Bi 3.32-3.35
La 0.3995 0.3995 0.0000  6 Bi 3.33-3.36
La 0.6006 0.6006 0.0000  6 Bi 3.33-3.36
La 0.7983 0.7983 0.0000  6 Bi 3.32-3.35
Bi 0.1039 0.6039 0.5000  4 La 3.32-3.36, 2 Ac 3.42
Bi 0.3006 0.8006 0.5000  6 La 3.33-3.35
Bi 0.5000 0.0000 0.5000  2 Ac 3.35, 4 La 3.36
Bi 0.6994 0.1994 0.5000  6 La 3.33-3.35
Bi 0.8961 0.3961 0.5000  4 La 3.32-3.36, 2 Ac 3.42

As for the total energy: -53.6 eV for the cell shown. The space group is Immm, No. 71. The calculation puts the energy relative to the elements at -1.04 eV/atom. Its volume is 37.71 Å³ per atom. The value obtained for the density of states at the Fermi level is 1.52 states/eV/f.u.


AcLaBi: relaxed, PBE.

Cell: 5.5637 5.5637 5.5637 Å, 60.00 60.00 60.00°
Closest atoms and distances in Å follow each position.
Atoms (fractional coordinates):
Ac 0.0000 0.0000 0.0000  4 Bi 3.41
La 0.5000 0.5000 0.5000  4 Bi 3.41
Bi 0.7500 0.7500 0.7500  4 La 3.41, 4 Ac 3.41

As for the total energy: -14.3 eV for the cell shown. The space group is F-43m, No. 216. The calculation puts the energy relative to the elements at -0.45 eV/atom. Its volume is 40.59 Å³ per atom. The value obtained for the density of states at the Fermi level is 3.06 states/eV/f.u.


AcLa2Bi2: relaxed, PBE.

Cell: 4.7668 4.7668 8.6168 Å, 105.99 105.99 90.05°
Closest atoms and distances in Å follow each position.
Atoms (fractional coordinates):
Ac 0.0000 0.0000 0.0000  8 Bi 3.73-3.75
La 0.2476 0.7524 0.5000  4 La 3.34-3.40, 4 Bi 3.34-3.35
La 0.7524 0.2476 0.5000  4 La 3.34-3.40, 4 Bi 3.34-3.35
Bi 0.3995 0.3995 0.7956  1 Bi 3.24, 4 La 3.34-3.35
Bi 0.6005 0.6005 0.2044  1 Bi 3.24, 4 La 3.34-3.35

As for the total energy: -24.9 eV for the cell shown. The space group is C2/m, No. 12. The calculation puts the energy relative to the elements at -0.64 eV/atom. Its volume is 36.06 Å³ per atom. The value obtained for the density of states at the Fermi level is 5.08 states/eV/f.u.


AcLaBi: relaxed, PBE.

Cell: 4.8664 4.8664 9.4429 Å, 90.03 90.03 90.00°
Closest atoms and distances in Å follow each position.
Atoms (fractional coordinates):
Ac 0.2494 0.2494 0.1462  5 Bi 3.53-3.55
Ac 0.7506 0.7506 0.8538  5 Bi 3.53-3.55
La 0.2501 0.7499 0.5000  4 La 3.44, 4 Bi 3.53
La 0.7499 0.2501 0.5000  4 La 3.44, 4 Bi 3.53
Bi 0.2505 0.2505 0.7704  4 La 3.53, 5 Ac 3.53-3.55
Bi 0.7495 0.7495 0.2296  4 La 3.53, 5 Ac 3.53-3.55

As for the total energy: -29.9 eV for the cell shown. The space group is C2/m, No. 12. The calculation puts the energy relative to the elements at -0.68 eV/atom. Its volume is 37.27 Å³ per atom. The value obtained for the density of states at the Fermi level is 3.47 states/eV/f.u.


AcLaBi: relaxed, PBE.

Cell: 14.0327 14.0327 14.0327 Å, 161.61 161.61 26.12°
Closest atoms and distances in Å follow each position.
Atoms (fractional coordinates):
Ac 0.2034 0.2034 0.0000  1 Bi 3.47
Ac 0.7966 0.7966 0.0000  1 Bi 3.47
La 0.4006 0.4006 0.0000  4 Bi 3.23
La 0.5994 0.5994 0.0000  4 Bi 3.23
Bi 0.0764 0.0764 0.0000  4 La 3.23, 1 Ac 3.47
Bi 0.9236 0.9236 0.0000  4 La 3.23, 1 Ac 3.47

As for the total energy: -27.9 eV for the cell shown. The space group is I4/mmm, No. 139. The calculation puts the energy relative to the elements at -0.34 eV/atom. Its volume is 45.81 Å³ per atom. The value obtained for the density of states at the Fermi level is 3.07 states/eV/f.u.


Ac3LaBi3: relaxed, PBE.

Cell: 10.1730 10.1730 10.1730 Å, 90.00 90.00 90.00°
Closest atoms and distances in Å follow each position.
Atoms (fractional coordinates):
Ac 0.0685 0.4315 0.5685  6 Bi 3.42-3.64
Ac 0.1774 0.8226 0.3226  6 Bi 3.39-3.67
Ac 0.1802 0.1802 0.1802  6 Bi 3.38-3.70
Ac 0.3198 0.8198 0.6802  6 Bi 3.38-3.70
Ac 0.3226 0.1774 0.8226  6 Bi 3.39-3.67
Ac 0.4315 0.5685 0.0685  6 Bi 3.42-3.64
Ac 0.5685 0.0685 0.4315  6 Bi 3.42-3.64
Ac 0.6774 0.6774 0.6774  6 Bi 3.39-3.67
Ac 0.6802 0.3198 0.8198  6 Bi 3.38-3.70
Ac 0.8198 0.6802 0.3198  6 Bi 3.38-3.70
Ac 0.8226 0.3226 0.1774  6 Bi 3.39-3.67
Ac 0.9315 0.9315 0.9315  6 Bi 3.42-3.64
La 0.0717 0.5717 0.9283  6 Bi 3.34-3.66
La 0.4283 0.4283 0.4283  6 Bi 3.34-3.66
La 0.5717 0.9283 0.0717  6 Bi 3.34-3.66
La 0.9283 0.0717 0.5717  6 Bi 3.34-3.66
Bi 0.0022 0.2553 0.8725  2 La 3.34-3.66, 6 Ac 3.38-3.70
Bi 0.1275 0.5022 0.2447  2 La 3.34-3.66, 6 Ac 3.38-3.70
Bi 0.2447 0.1275 0.5022  2 La 3.34-3.66, 6 Ac 3.38-3.70
Bi 0.2553 0.8725 0.0022  2 La 3.34-3.66, 6 Ac 3.38-3.70
Bi 0.3725 0.4978 0.7447  2 La 3.34-3.66, 6 Ac 3.38-3.70
Bi 0.4978 0.7447 0.3725  2 La 3.34-3.66, 6 Ac 3.38-3.70
Bi 0.5022 0.2447 0.1275  2 La 3.34-3.66, 6 Ac 3.38-3.70
Bi 0.6275 0.9978 0.7553  2 La 3.34-3.66, 6 Ac 3.38-3.70
Bi 0.7447 0.3725 0.4978  2 La 3.34-3.66, 6 Ac 3.38-3.70
Bi 0.7553 0.6275 0.9978  2 La 3.34-3.66, 6 Ac 3.38-3.70
Bi 0.8725 0.0022 0.2553  2 La 3.34-3.66, 6 Ac 3.38-3.70
Bi 0.9978 0.7553 0.6275  2 La 3.34-3.66, 6 Ac 3.38-3.70

As for the total energy: -139.1 eV for the cell shown. The space group is P2_13, No. 198. The calculation puts the energy relative to the elements at -0.84 eV/atom. Its volume is 37.60 Å³ per atom. The value obtained for the density of states at the Fermi level is 8.88 states/eV/f.u.


Ac2LaBi3: relaxed, PBE.

Cell: 15.9932 15.2487 8.3565 Å, 79.47 69.62 30.91°
Closest atoms and distances in Å follow each position.
Atoms (fractional coordinates):
Ac 0.0423 0.0423 0.2077  6 Bi 3.42-3.46
Ac 0.1242 0.1242 0.6258  6 Bi 3.41-3.45
Ac 0.2077 0.2077 0.0423  6 Bi 3.42-3.46
Ac 0.3742 0.3742 0.8758  6 Bi 3.41-3.45
Ac 0.6258 0.6258 0.1242  6 Bi 3.41-3.45
Ac 0.7923 0.7923 0.9577  6 Bi 3.42-3.46
Ac 0.8758 0.8758 0.3742  6 Bi 3.41-3.45
Ac 0.9577 0.9577 0.7923  6 Bi 3.42-3.46
La 0.2915 0.2915 0.4585  6 Bi 3.35-3.36
La 0.4585 0.4585 0.2915  6 Bi 3.35-3.36
La 0.5415 0.5415 0.7085  6 Bi 3.35-3.36
La 0.7085 0.7085 0.5415  6 Bi 3.35-3.36
Bi 0.0401 0.5405 0.2171  2 La 3.35-3.36, 4 Ac 3.42-3.46
Bi 0.1330 0.6170 0.6170  2 La 3.36, 4 Ac 3.41-3.45
Bi 0.2171 0.7023 0.0401  2 La 3.35-3.36, 4 Ac 3.42-3.46
Bi 0.2977 0.7829 0.4595  2 La 3.35-3.36, 4 Ac 3.42-3.46
Bi 0.3830 0.8670 0.8670  2 La 3.36, 4 Ac 3.41-3.45
Bi 0.4595 0.9599 0.2977  2 La 3.35-3.36, 4 Ac 3.42-3.46
Bi 0.5405 0.0401 0.7023  2 La 3.35-3.36, 4 Ac 3.42-3.46
Bi 0.6170 0.1330 0.1330  2 La 3.36, 4 Ac 3.41-3.45
Bi 0.7023 0.2171 0.5405  2 La 3.35-3.36, 4 Ac 3.42-3.46
Bi 0.7829 0.2977 0.9599  2 La 3.35-3.36, 4 Ac 3.42-3.46
Bi 0.8670 0.3830 0.3830  2 La 3.36, 4 Ac 3.41-3.45
Bi 0.9599 0.4595 0.7829  2 La 3.35-3.36, 4 Ac 3.42-3.46

As for the total energy: -123.6 eV for the cell shown. The space group is Fddd, No. 70. The calculation puts the energy relative to the elements at -1.02 eV/atom. Its volume is 39.68 Å³ per atom. The value obtained for the density of states at the Fermi level is 0.84 states/eV/f.u.


AcLa3Bi4: relaxed, PBE.

Cell: 6.7202 6.7202 6.7202 Å, 90.00 90.00 90.00°
Closest atoms and distances in Å follow each position.
Atoms (fractional coordinates):
Ac 0.0000 0.0000 0.0000  6 Bi 3.36
La 0.0000 0.5000 0.5000  6 Bi 3.36
La 0.5000 0.0000 0.5000  6 Bi 3.36
La 0.5000 0.5000 0.0000  6 Bi 3.36
Bi 0.0000 0.0000 0.5000  4 La 3.36, 2 Ac 3.36
Bi 0.0000 0.5000 0.0000  4 La 3.36, 2 Ac 3.36
Bi 0.5000 0.0000 0.0000  4 La 3.36, 2 Ac 3.36
Bi 0.5000 0.5000 0.5000  6 La 3.36

As for the total energy: -42.7 eV for the cell shown. The space group is Pm-3m, No. 221. The calculation puts the energy relative to the elements at -1.03 eV/atom. Its volume is 37.94 Å³ per atom. The value obtained for the density of states at the Fermi level is 1.42 states/eV/f.u.


Ac4LaBi2: relaxed, PBE.

Cell: 9.6370 9.6370 9.6370 Å, 143.68 143.68 52.30°
Closest atoms and distances in Å follow each position.
Atoms (fractional coordinates):
Ac 0.0000 0.5000 0.5000  2 La 3.00
Ac 0.1795 0.1795 0.0000  1 La 3.11, 1 Bi 3.28
Ac 0.5000 0.0000 0.5000  2 La 3.00
Ac 0.8205 0.8205 0.0000  1 La 3.11, 1 Bi 3.28
La 0.0000 0.0000 0.0000  6 Ac 3.00-3.11
Bi 0.3692 0.3692 0.0000  1 Ac 3.28
Bi 0.6308 0.6308 0.0000  1 Ac 3.28

As for the total energy: -28.1 eV for the cell shown. The space group is I4/mmm, No. 139. The calculation puts the energy relative to the elements at 0.14 eV/atom. Its volume is 44.59 Å³ per atom. The value obtained for the density of states at the Fermi level is 7.88 states/eV/f.u.


AcLaBi: relaxed, PBE.

Cell: 6.4639 6.4639 6.4639 Å, 140.52 140.52 57.06°
Closest atoms and distances in Å follow each position.
Atoms (fractional coordinates):
Ac 0.0000 0.0000 0.0000  5 La 3.44-3.81, 5 Bi 3.61-3.81
La 0.6972 0.6972 0.0000  5 Ac 3.44-3.81, 4 Bi 3.46
Bi 0.3350 0.3350 0.0000  4 La 3.46, 5 Ac 3.61-3.81

As for the total energy: -14.6 eV for the cell shown. The space group is I4mm, No. 107. The calculation puts the energy relative to the elements at -0.54 eV/atom. Its volume is 36.08 Å³ per atom. The value obtained for the density of states at the Fermi level is 4.20 states/eV/f.u.


AcLa5Bi4: relaxed, PBE.

Cell: 9.6842 11.7002 7.7857 Å, 90.00 90.00 90.00°
Closest atoms and distances in Å follow each position.
Atoms (fractional coordinates):
Ac 0.2500 0.2500 0.1470  4 Bi 3.26-3.32
Ac 0.7500 0.7500 0.8530  4 Bi 3.26-3.32
La 0.0146 0.0559 0.7317  3 Bi 3.22-3.29
La 0.0146 0.4441 0.7317  3 Bi 3.22-3.29
La 0.2500 0.7500 0.8261  4 Bi 3.13-3.19
La 0.4854 0.0559 0.7317  3 Bi 3.22-3.29
La 0.4854 0.4441 0.7317  3 Bi 3.22-3.29
La 0.5146 0.5559 0.2683  3 Bi 3.22-3.29
La 0.5146 0.9441 0.2683  3 Bi 3.22-3.29
La 0.7500 0.2500 0.1739  4 Bi 3.13-3.19
La 0.9854 0.5559 0.2683  3 Bi 3.22-3.29
La 0.9854 0.9441 0.2683  3 Bi 3.22-3.29
Bi 0.0005 0.2500 0.4391  3 La 3.19-3.22, 1 Ac 3.32
Bi 0.2500 0.5146 0.0175  5 La 3.13-3.29, 1 Ac 3.26
Bi 0.2500 0.9854 0.0175  5 La 3.13-3.29, 1 Ac 3.26
Bi 0.4995 0.2500 0.4391  3 La 3.19-3.22, 1 Ac 3.32
Bi 0.5005 0.7500 0.5609  3 La 3.19-3.22, 1 Ac 3.32
Bi 0.7500 0.0146 0.9825  5 La 3.13-3.29, 1 Ac 3.26
Bi 0.7500 0.4854 0.9825  5 La 3.13-3.29, 1 Ac 3.26
Bi 0.9995 0.7500 0.5609  3 La 3.19-3.22, 1 Ac 3.32

As for the total energy: -98.3 eV for the cell shown. The space group is Pmmn, No. 59. The calculation puts the energy relative to the elements at -0.49 eV/atom. Its volume is 44.11 Å³ per atom. The value obtained for the density of states at the Fermi level is 11.34 states/eV/f.u.